(1)
A plane-wave DFT calculation with GGA-PBE was carried out for an optimized crystal structure of AcMgZn2Pt4.

Structure (CIF):
```
data_AcMgZn2Pt4
_chemical_formula_sum 'Ac3 Mg3 Zn6 Pt12'
_symmetry_space_group_name_H-M 'R -3 m'
_symmetry_Int_Tables_number 166
_symmetry_space_group_name_Hall '-R 3 2"'
_cell_length_a 4.3906
_cell_length_b 4.3906
_cell_length_c 26.8774
_cell_angle_alpha 90.00
_cell_angle_beta 90.00
_cell_angle_gamma 120.00
loop_
_atom_site_label
_atom_site_type_symbol
_atom_site_fract_x
_atom_site_fract_y
_atom_site_fract_z
Ac1 Ac 0.0000 0.0000 0.0000
Mg1 Mg 0.0000 0.0000 0.5000
Zn1 Zn 0.0000 0.0000 0.2353
Pt1 Pt 0.0000 0.0000 0.1302
Pt2 Pt 0.0000 0.0000 0.4037
```

Properties
E_tot in eV per cell: -115.34
Density in g/cm³: 12.91

---

(2)
A plane-wave DFT calculation with GGA-PBE was carried out for an optimized crystal structure of CaZrW2.

Structure (CIF):
```
data_CaZrW2
_chemical_formula_sum 'Ca4 Zr4 W8'
_symmetry_space_group_name_H-M 'F -4 3 m'
_symmetry_Int_Tables_number 216
_symmetry_space_group_name_Hall 'F -4 2 3'
_cell_length_a 6.7876
_cell_length_b 6.7876
_cell_length_c 6.7876
_cell_angle_alpha 90.00
_cell_angle_beta 90.00
_cell_angle_gamma 90.00
loop_
_atom_site_label
_atom_site_type_symbol
_atom_site_fract_x
_atom_site_fract_y
_atom_site_fract_z
Ca1 Ca 0.0000 0.0000 0.0000
Zr1 Zr 0.2500 0.2500 0.7500
W1 W 0.0000 0.0000 0.5000
W2 W 0.2500 0.2500 0.2500
```

Properties
E_tot in eV per cell: -134.86
Density in g/cm³: 10.60

---

(3)
A plane-wave DFT calculation with GGA-PBE was carried out for an optimized crystal structure of ZrTaTe2N.

Structure (CIF):
```
data_ZrTaTe2N
_chemical_formula_sum 'Zr1 Ta1 Te2 N1'
_symmetry_space_group_name_H-M 'P 4/m m m'
_symmetry_Int_Tables_number 123
_symmetry_space_group_name_Hall '-P 4 2'
_cell_length_a 5.5358
_cell_length_b 5.5358
_cell_length_c 3.8657
_cell_angle_alpha 90.00
_cell_angle_beta 90.00
_cell_angle_gamma 90.00
loop_
_atom_site_label
_atom_site_type_symbol
_atom_site_fract_x
_atom_site_fract_y
_atom_site_fract_z
Zr1 Zr 0.0000 0.0000 0.0000
Ta1 Ta 0.5000 0.5000 0.5000
Te1 Te 0.0000 0.5000 0.5000
N1 N 0.5000 0.5000 0.0000
```

Properties
Formation energy (no corrections) in eV per atom: 0.043
Density in g/cm³: 7.59

---

(4)
A plane-wave DFT calculation with GGA-PBE was carried out for an optimized crystal structure of TcIr2Rh.

Structure (CIF):
```
data_TcIr2Rh
_chemical_formula_sum 'Tc3 Ir6 Rh3'
_symmetry_space_group_name_H-M 'R 3 m'
_symmetry_Int_Tables_number 160
_symmetry_space_group_name_Hall 'R 3 -2"'
_cell_length_a 2.7402
_cell_length_b 2.7402
_cell_length_c 26.6744
_cell_angle_alpha 90.00
_cell_angle_beta 90.00
_cell_angle_gamma 120.00
loop_
_atom_site_label
_atom_site_type_symbol
_atom_site_fract_x
_atom_site_fract_y
_atom_site_fract_z
Tc1 Tc 0.0000 0.0000 0.0000
Ir1 Ir 0.0000 0.0000 0.5001
Ir2 Ir 0.0000 0.0000 0.7485
Rh1 Rh 0.0000 0.0000 0.2516
```

Properties
E_tot in eV per cell: -106.68
Density in g/cm³: 16.81

---

(5)
A plane-wave DFT calculation with GGA-PBE was carried out for an optimized crystal structure of MnMo3Pt.

Structure (CIF):
```
data_MnMo3Pt
_chemical_formula_sum 'Mn1 Mo3 Pt1'
_symmetry_space_group_name_H-M 'P m -3 m'
_symmetry_Int_Tables_number 221
_symmetry_space_group_name_Hall '-P 4 2 3'
_cell_length_a 4.4059
_cell_length_b 4.4059
_cell_length_c 4.4059
_cell_angle_alpha 90.00
_cell_angle_beta 90.00
_cell_angle_gamma 90.00
loop_
_atom_site_label
_atom_site_type_symbol
_atom_site_fract_x
_atom_site_fract_y
_atom_site_fract_z
Mn1 Mn 0.0000 0.0000 0.0000
Mo1 Mo 0.0000 0.0000 0.5000
Pt1 Pt 0.5000 0.5000 0.5000
```

Properties
E_tot in eV per cell: -42.98
Density in g/cm³: 10.44

---

(6)
A plane-wave DFT calculation with GGA-PBE was carried out for an optimized crystal structure of K3Ag.

Structure (CIF):
```
data_K3Ag
_chemical_formula_sum 'K9 Ag3'
_symmetry_space_group_name_H-M 'R -3 m'
_symmetry_Int_Tables_number 166
_symmetry_space_group_name_Hall '-R 3 2"'
_cell_length_a 4.7913
_cell_length_b 4.7913
_cell_length_c 34.9183
_cell_angle_alpha 90.00
_cell_angle_beta 90.00
_cell_angle_gamma 120.00
loop_
_atom_site_label
_atom_site_type_symbol
_atom_site_fract_x
_atom_site_fract_y
_atom_site_fract_z
K1 K 0.0000 0.0000 0.0000
K2 K 0.0000 0.0000 0.2241
Ag1 Ag 0.0000 0.0000 0.5000
```

Properties
E_tot in eV per cell: -17.51
Density in g/cm³: 1.62

---

(7)
A plane-wave DFT calculation with GGA-PBE was carried out for an optimized crystal structure of Nd2Sb3Pd9.

Structure (CIF):
```
data_Nd2Sb3Pd9
_chemical_formula_sum 'Nd8 Sb12 Pd36'
_symmetry_space_group_name_H-M 'C 1 2/c 1'
_symmetry_Int_Tables_number 15
_cell_length_a 14.0136
_cell_length_b 8.0780
_cell_length_c 10.5127
_cell_angle_alpha 90.00
_cell_angle_beta 116.02
_cell_angle_gamma 90.00
loop_
_symmetry_equiv_pos_as_xyz
'x,y,z'
'-x,-y,-z'
'-x,y,-z+1/2'
'x,-y,z+1/2'
'x+1/2,y+1/2,z'
'-x+1/2,-y+1/2,-z'
'-x+1/2,y+1/2,-z+1/2'
'x+1/2,-y+1/2,z+1/2'
loop_
_atom_site_label
_atom_site_type_symbol
_atom_site_fract_x
_atom_site_fract_y
_atom_site_fract_z
Nd1 Nd 0.1716 0.0869 0.2489
Sb1 Sb 0.0848 0.2368 0.5000
Sb2 Sb 0.2500 0.2500 0.0000
Pd1 Pd 0.0000 0.3746 0.2500
Pd2 Pd 0.0555 0.0786 0.9149
Pd3 Pd 0.1008 0.3258 0.7471
Pd4 Pd 0.1007 0.4144 0.0489
Pd5 Pd 0.2264 0.4126 0.4267
```

Properties
Formation energy (no corrections) in eV per atom: -0.706
Density in g/cm³: 10.01

---

(8)
A plane-wave DFT calculation with GGA-PBE was carried out for an optimized crystal structure of SiTe2As.

Structure (CIF):
```
data_SiTe2As
_chemical_formula_sum 'Si1 Te2 As1'
_symmetry_space_group_name_H-M 'P m m m'
_symmetry_Int_Tables_number 47
_cell_length_a 4.0216
_cell_length_b 4.0307
_cell_length_c 6.3365
_cell_angle_alpha 90.00
_cell_angle_beta 90.00
_cell_angle_gamma 90.00
loop_
_symmetry_equiv_pos_as_xyz
'x,y,z'
'-x,-y,-z'
'-x,-y,z'
'x,y,-z'
'x,-y,-z'
'-x,y,z'
'-x,y,-z'
'x,-y,z'
loop_
_atom_site_label
_atom_site_type_symbol
_atom_site_fract_x
_atom_site_fract_y
_atom_site_fract_z
Si1 Si 0.0000 0.0000 0.0000
Te1 Te 0.0000 0.5000 0.5000
Te2 Te 0.5000 0.5000 0.0000
As1 As 0.5000 0.0000 0.5000
```

Properties
Formation energy (no corrections) in eV per atom: 0.501
Density in g/cm³: 5.79